Record 1
The following is a PBE calculation of a relaxed PrUS crystal, from Alexandria via LeMat-Bulk.

The size of the total moment is 7.3 μB per cell. Its raw formation energy is -0.520 eV/atom.

It has space group R-3m (No. 166, hexagonal axes), with a = 4.0952 Å, b = 4.0952 Å, c = 37.9987 Å, α = 90.00°, β = 90.00° and γ = 120.00°. The inequivalent atoms are Pr at (0.0000, 0.0000, 0.0840), U at (0.0000, 0.0000, 0.3461) and S at (0.0000, 0.0000, 0.2139).

=====

Record 2
The following is a PBE calculation of a relaxed PrU3S4 crystal, from Alexandria via LeMat-Bulk.

The size of the total moment is 14.7 μB per cell. Its raw formation energy is -1.502 eV/atom.

It has space group Cmmm (No. 65), with a = 7.928 Å, b = 11.102 Å, c = 3.896 Å, α = 90.00°, β = 90.00° and γ = 90.00°. The inequivalent atoms are Pr at (0.000, 0.000, 0.000), U at (0.000, 0.500, 0.000), U at (0.250, 0.250, 0.500), S at (0.000, 0.255, 0.000) and S at (0.240, 0.500, 0.500).

=====

Record 3
The following is a PBE calculation of a relaxed Pr2U2S7 crystal, from Alexandria via LeMat-Bulk.

The size of the total moment is 8.0 μB per cell. Its raw formation energy is -1.635 eV/atom.

It has space group Imm2 (No. 44), with a = 3.962 Å, b = 14.258 Å, c = 8.722 Å, α = 90.00°, β = 90.00° and γ = 90.00°. The inequivalent atoms are Pr at (0.000, 0.000, 0.000), Pr at (0.000, 0.500, 0.041), U at (0.000, 0.242, 0.245), S at (0.000, 0.000, 0.316), S at (0.000, 0.117, 0.722), S at (0.000, 0.311, 0.938) and S at (0.000, 0.354, 0.555).

=====

Record 4
The following is a PBE calculation of a relaxed Pr2US6 crystal, from Alexandria via LeMat-Bulk.

The size of the total moment is 0.1 μB per cell. Its raw formation energy is -1.529 eV/atom. The polymorph energy (0 for the lowest one) comes out at 95.9 meV/atom.

It has space group P4_2/mnm (No. 136), with a = 6.446 Å, b = 6.446 Å, c = 12.533 Å, α = 90.00°, β = 90.00° and γ = 90.00°. The inequivalent atoms are Pr at (0.000, 0.000, 0.166), U at (0.000, 0.000, 0.500), S at (0.187, 0.187, 0.348) and S at (0.216, 0.216, 0.000).

=====

Record 5
The following is a PBE calculation of a relaxed Pr5U3S8 crystal, from Alexandria via LeMat-Bulk.

The size of the total moment is 24.5 μB per cell. Its raw formation energy is -1.739 eV/atom.

It has space group R-3m (No. 166, hexagonal axes), with a = 8.0183 Å, b = 8.0183 Å, c = 19.8317 Å, α = 90.00°, β = 90.00° and γ = 120.00°. The inequivalent atoms are Pr at (0.0000, 0.0000, 0.0000), Pr at (0.0000, 0.0000, 0.5000), Pr at (0.0000, 0.5000, 0.0000), U at (0.0000, 0.5000, 0.5000), S at (0.0000, 0.0000, 0.2443) and S at (0.0081, 0.5040, 0.7541).

=====

Record 6
The following is a PBE calculation of a relaxed Pr5U2S12 crystal, from Alexandria via LeMat-Bulk.

The size of the total moment is 6.0 μB per cell. Its raw formation energy is -1.787 eV/atom.

It has space group C2/m (No. 12), with a = 15.678 Å, b = 7.542 Å, c = 9.177 Å, α = 90.00°, β = 107.51° and γ = 90.00°. The inequivalent atoms are Pr at (0.000, 0.000, 0.000), Pr at (0.189, 0.500, 0.324), Pr at (0.205, 0.500, 0.863), U at (0.000, 0.252, 0.500), S at (0.002, 0.500, 0.710), S at (0.004, 0.000, 0.307), S at (0.149, 0.252, 0.067) and S at (0.173, 0.269, 0.589).

=====

Record 7
The following is a PBE calculation of a relaxed Pr3US4 crystal, from Alexandria via LeMat-Bulk.

The size of the total moment is 5.7 μB per cell. Its raw formation energy is -1.825 eV/atom.

It has space group P2/c (No. 13), with a = 7.044 Å, b = 8.084 Å, c = 7.006 Å, α = 90.00°, β = 109.44° and γ = 90.00°. The inequivalent atoms are Pr at (0.000, 0.124, 0.250), Pr at (0.000, 0.375, 0.750), Pr at (0.500, 0.373, 0.250), U at (0.500, 0.122, 0.750), S at (0.257, 0.368, 0.508) and S at (0.262, 0.119, 0.999).

=====

Record 8
The following is a PBE calculation of a relaxed Pr2US6 crystal, from Alexandria via LeMat-Bulk.

The size of the total moment is 0.0 μB per cell. Its raw formation energy is -1.625 eV/atom. The polymorph energy (0 for the lowest one) comes out at 0.0 meV/atom.

It has space group P2_1/c (No. 14), with a = 6.571 Å, b = 7.499 Å, c = 11.032 Å, α = 90.00°, β = 123.28° and γ = 90.00°. The inequivalent atoms are Pr at (0.213, 0.105, 0.247), U at (0.500, 0.000, 0.000), S at (0.120, 0.169, 0.942), S at (0.282, 0.698, 0.937) and S at (0.370, 0.038, 0.740).

=====

Record 9
The following is a PBE calculation of a relaxed Pr3U5S12 crystal, from Alexandria via LeMat-Bulk.

The size of the total moment is 119.6 μB per cell. Its raw formation energy is -1.352 eV/atom.

It has space group Ia-3d (No. 230), with a = 16.366 Å, b = 16.366 Å, c = 16.366 Å, α = 90.00°, β = 90.00° and γ = 90.00°. The inequivalent atoms are Pr at (0.000, 0.250, 0.125), U at (0.000, 0.000, 0.000), U at (0.000, 0.250, 0.375) and S at (0.022, 0.070, 0.651).

=====

Record 10
The following is a PBE calculation of a relaxed Pr5US6 crystal, from Alexandria via LeMat-Bulk.

The size of the total moment is 5.5 μB per cell. Its raw formation energy is -1.890 eV/atom.

It has space group C2/m (No. 12), with a = 7.054 Å, b = 12.179 Å, c = 7.064 Å, α = 90.00°, β = 109.52° and γ = 90.00°. The inequivalent atoms are Pr at (0.000, 0.000, 0.000), Pr at (0.000, 0.167, 0.500), Pr at (0.000, 0.326, 0.000), U at (0.000, 0.500, 0.500), S at (0.240, 0.500, 0.252) and S at (0.241, 0.339, 0.742).

=====

Record 11
The following is a PBE calculation of a relaxed PrU3S6 crystal, from Alexandria via LeMat-Bulk.

The size of the total moment is 6.0 μB per cell. Its raw formation energy is -1.527 eV/atom.

It has space group P2_1/m (No. 11), with a = 11.007 Å, b = 3.945 Å, c = 11.441 Å, α = 90.00°, β = 107.70° and γ = 90.00°. The inequivalent atoms are Pr at (0.049, 0.250, 0.195), U at (0.156, 0.250, 0.581), U at (0.320, 0.750, 0.005), U at (0.436, 0.250, 0.334), S at (0.085, 0.750, 0.405), S at (0.125, 0.250, 0.964), S at (0.197, 0.750, 0.748), S at (0.264, 0.750, 0.228), S at (0.395, 0.250, 0.559) and S at (0.489, 0.250, 0.118).

=====

Record 12
The following is a PBE calculation of a relaxed PrUS4 crystal, from Alexandria via LeMat-Bulk.

The size of the total moment is 2.0 μB per cell. Its raw formation energy is -1.479 eV/atom. The polymorph energy (0 for the lowest one) comes out at 48.8 meV/atom.

It has space group Cmmm (No. 65), with a = 8.957 Å, b = 9.116 Å, c = 4.183 Å, α = 90.00°, β = 90.00° and γ = 90.00°. The inequivalent atoms are Pr at (0.000, 0.000, 0.000), U at (0.000, 0.500, 0.500), S at (0.000, 0.319, 0.000) and S at (0.211, 0.000, 0.500).

=====

Record 13
The following is a PBE calculation of a relaxed Pr2US5 crystal, from Alexandria via LeMat-Bulk.

The size of the total moment is 8.0 μB per cell. Its raw formation energy is -1.835 eV/atom. The polymorph energy (0 for the lowest one) comes out at 0.0 meV/atom.

It has space group Pnma (No. 62), with a = 12.018 Å, b = 8.124 Å, c = 7.545 Å, α = 90.00°, β = 90.00° and γ = 90.00°. The inequivalent atoms are Pr at (0.177, 0.000, 0.025), U at (0.008, 0.250, 0.568), S at (0.001, 0.250, 0.952), S at (0.095, 0.540, 0.661), S at (0.186, 0.250, 0.331) and S at (0.213, 0.750, 0.306).

=====

Record 14
The following is a PBE calculation of a relaxed Pr3US7 crystal, from Alexandria via LeMat-Bulk.

The size of the total moment is 4.0 μB per cell. Its raw formation energy is -1.771 eV/atom.

It has space group C222_1 (No. 20), with a = 9.227 Å, b = 13.311 Å, c = 9.609 Å, α = 90.00°, β = 90.00° and γ = 90.00°. The inequivalent atoms are Pr at (0.002, 0.000, 0.000), Pr at (0.227, 0.276, 0.750), U at (0.000, 0.500, 0.000), S at (0.000, 0.128, 0.250), S at (0.000, 0.135, 0.750), S at (0.000, 0.423, 0.750), S at (0.211, 0.373, 0.030) and S at (0.212, 0.373, 0.470).

=====

Record 15
The following is a PBE calculation of a relaxed Pr2US5 crystal, from Alexandria via LeMat-Bulk.

The size of the total moment is 8.0 μB per cell. Its raw formation energy is -1.735 eV/atom. The polymorph energy (0 for the lowest one) comes out at 100.2 meV/atom.

It has space group Cmcm (No. 63), with a = 5.427 Å, b = 13.811 Å, c = 13.473 Å, α = 90.00°, β = 90.00° and γ = 90.00°. The inequivalent atoms are Pr at (0.000, 0.145, 0.063), U at (0.000, 0.190, 0.750), S at (0.000, 0.049, 0.621), S at (0.000, 0.262, 0.250) and S at (0.000, 0.304, 0.583).